Below is a crystal of SmPt2 relaxed with PBEsol, with properties calculated at the SCAN level.

It has space group Fd-3m (No. 227, origin choice 2), with a = 7.6442 Å, b = 7.6442 Å, c = 7.6442 Å, α = 90.00°, β = 90.00° and γ = 90.00°. The inequivalent atoms are Sm at (0.1250, 0.1250, 0.1250) and Pt at (0.0000, 0.0000, 0.5000).

The calculation puts the total energy at -62.886 eV per atom. The value obtained for the volume is 447 Å³ per cell. The energy of formation from the pure elements comes out at -3.83 eV per formula unit.